No. 1
Ag3SbS3 | Alexandria | PBE-GGA | relaxed; crystal system = monoclinic; SG = No. 14; energy above the most stable polymorph in this dataset = 0.0 kJ/mol of atoms; V = 22.7 Å³ per atom; energy relative to the elements, uncorrected = -0.13 eV/atom
1.0
-4.1716 12.4657 -8.9954
-3.8880 2.0137 4.5937
2.7946 4.3372 4.7144
Ag Sb S
12 4 12
Cartesian
-5.9156 11.7987 -3.7470 Ag
-2.9494 11.9547 -3.0218 Ag
-1.7924 9.5162 5.2802 Ag
-3.9422 14.7621 -3.1907 Ag
-0.3132 5.6806 1.1635 Ag
-4.6075 11.9481 1.8633 Ag
0.6507 7.0179 4.0597 Ag
-2.3155 6.8619 3.3345 Ag
-1.3228 4.0544 3.5034 Ag
-0.6574 6.8685 -1.5506 Ag
-3.4725 9.3004 -4.9676 Ag
-4.9518 13.1360 -0.8508 Ag
-4.3753 9.0383 -0.9453 Sb
-1.1611 5.7872 7.1613 Sb
-0.8896 9.7783 1.2579 Sb
-4.1038 13.0293 -6.8486 Sb
1.0447 4.5620 4.2592 S
-2.5182 10.4066 3.0651 S
-2.7467 8.4100 -2.7524 S
-2.9903 3.5871 1.6581 S
-3.3228 11.3226 -0.6728 S
-2.9251 5.6288 5.3547 S
-6.3096 14.2546 -3.9465 S
-1.9422 7.4939 0.9855 S
-2.3399 13.1877 -5.0421 S
-3.5230 14.1577 2.4514 S
-1.7419 4.6589 -2.1387 S
-2.2746 15.2295 -1.3454 S

No. 2
Sm2MgTc | Alexandria | PBE-GGA | relaxed; crystal system = tetragonal; SG = No. 123; V = 25.5 Å³ per atom; formation energy = 2 meV/atom
1.0
-2.8572 1.2686 1.6342
-1.8307 -2.8484 -0.9895
2.2428 -3.8388 6.9014
Mg Tc Sm
1 1 2
Cartesian
-1.2225 -2.7093 3.7731 Mg
-2.3439 -0.7899 0.3224 Tc
1.7861 -3.0571 5.4960 Sm
0.4567 -0.7817 1.4054 Sm

No. 3
LiLaCdIr | Alexandria | PBE-GGA | relaxed; crystal system = cubic; SG = No. 216; V = 20.9 Å³ per atom; formation energy = -316 meV/atom
1.0
4.9097 0.0000 0.0000
2.4549 4.2519 0.0000
2.4549 1.4173 4.0088
Cd Ir Li La
1 1 1 1
Cartesian
7.3646 4.2519 3.0066 Cd
4.9097 2.8346 2.0044 Ir
0.0000 0.0000 0.0000 Li
2.4549 1.4173 1.0022 La

No. 4
SmTm5Zn6 | Alexandria | PBE-GGA | relaxed; crystal system = orthorhombic; SG = No. 65; V = 22.2 Å³ per atom; formation energy = -342 meV/atom
1.0
4.7357 -0.0283 1.5782
0.0382 7.1057 0.0127
-0.0079 -0.0141 7.9182
Zn Tm Sm
6 5 1
Cartesian
3.9588 5.2581 4.0043 Zn
3.9402 1.7910 3.9980 Zn
2.3777 1.8038 0.7924 Zn
2.3962 5.2736 0.7986 Zn
0.8258 5.2722 5.5111 Zn
0.8072 1.8051 5.5049 Zn
3.1618 3.5245 6.3649 Tm
1.5679 -0.0141 3.1896 Tm
0.0191 3.5528 0.0064 Tm
3.1599 -0.0283 6.3068 Tm
1.6042 3.5387 3.1442 Tm
0.0000 0.0000 0.0000 Sm

No. 5
GdHoH | Alexandria | PBE-GGA | relaxed; crystal system = tetragonal; SG = No. 107; energy above the most stable polymorph in this dataset = 11.6 kJ/mol of atoms; V = 22.5 Å³ per atom
1.0
3.3471 0.0000 0.0000
0.0000 3.3471 0.0000
-1.6736 -1.6736 6.0328
H Gd Ho
1 1 1
Cartesian
0.0000 0.0000 2.6613 H
0.0000 0.0000 0.4135 Gd
1.6736 1.6736 2.9581 Ho

No. 6
Ce2Er5Tm12 | Alexandria | PBE-GGA | relaxed; crystal system = monoclinic; SG = No. 12; energy above the most stable polymorph in this dataset = 3.3 kJ/mol of atoms; V = 30.9 Å³ per atom; formation energy = 145 meV/atom
1.0
9.1022 0.0000 0.0000
-4.5511 10.9917 -1.8520
0.0000 -5.1454 6.7266
Ce Er Tm
2 5 12
Cartesian
5.9151 0.0000 0.0000 Ce
3.1871 0.0000 0.0000 Ce
0.0000 3.1615 3.0357 Er
0.0000 0.4580 5.1729 Er
0.0000 -2.5727 3.3633 Er
4.5511 5.3883 -0.2983 Er
4.5511 2.6848 1.8390 Er
0.0000 0.1256 1.5409 Tm
-2.9221 2.9188 5.0580 Tm
2.9221 2.9188 5.0580 Tm
-1.7361 5.9335 1.4458 Tm
1.7361 5.9335 1.4458 Tm
4.5511 -2.6932 5.0106 Tm
0.0000 8.5394 -0.1360 Tm
6.2872 -0.0872 3.4288 Tm
2.8150 -0.0872 3.4288 Tm
7.4732 2.9275 -0.1834 Tm
1.6290 2.9275 -0.1834 Tm
4.5511 5.7207 3.3337 Tm